Material: In2Sb3
Method: DFT, PBE
State: optimized geometry

Cell lengths 4.264, 4.264, 9.804 Å; angles 90.00, 90.00, 120.00 degrees
Positions (direct):
Sb 0.667 0.333 0.589
Sb 0.000 0.000 0.000
Sb 0.333 0.667 0.411
In 0.333 0.667 0.822
In 0.667 0.333 0.178

Properties
The value obtained for the magnetization is 0.000 Bohr magnetons per cell. As for the energy above the most stable polymorph in this dataset: 6.8 kJ/mol of atoms. Its space group is No. 164. For the uncorrected formation energy, the calculation gives 0.064 eV per atom. The calculated total energy comes out at -3.505 eV/atom.

---

Material: Ca4GaRh
Method: DFT, PBE
State: optimized geometry

Cell lengths 6.250, 8.203, 8.203 Å; angles 111.95, 104.75, 104.75 degrees
Positions (direct):
Ca 0.924 0.054 0.711
Ca 0.694 0.224 0.356
Ca 0.424 0.711 0.054
Ca 0.076 0.946 0.289
Ca 0.306 0.776 0.644
Ca 0.194 0.356 0.224
Ca 0.576 0.289 0.946
Ca 0.806 0.644 0.776
Ga 0.250 0.366 0.634
Ga 0.750 0.634 0.366
Rh 0.250 0.998 0.002
Rh 0.750 0.002 0.998

Properties
The value obtained for the magnetization is 0.000 Bohr magnetons per cell. Its space group is No. 15. The calculated total energy comes out at -3.431 eV/atom.

---

Material: PmIrOs
Method: DFT, PBE
State: optimized geometry

Cell lengths 4.966, 5.099, 10.595 Å; angles 83.45, 76.45, 60.86 degrees
Positions (direct):
Ir 0.180 0.500 0.641
Ir 0.320 0.500 0.359
Ir 0.430 0.000 0.141
Ir 0.570 0.000 0.859
Pm 0.169 0.663 0.000
Pm 0.581 0.837 0.500
Pm 0.919 0.163 0.500
Pm 0.831 0.337 0.000
Os 0.876 0.000 0.248
Os 0.124 0.000 0.752
Os 0.626 0.500 0.748
Os 0.874 0.500 0.252

Properties
The value obtained for the magnetization is 0.000 Bohr magnetons per cell. As for the energy above the most stable polymorph in this dataset: 58.2 kJ/mol of atoms. Its space group is No. 70. The calculated total energy comes out at -8.110 eV/atom.

---

Material: LaPm2NpP4
Method: DFT, PBE
State: optimized geometry

Cell lengths 4.114, 7.148, 7.136 Å; angles 109.31, 90.00, 90.00 degrees
Each line ends with the local moment (μB).
Positions (direct):
P 0.000 0.239 0.752  -0.04
P 0.500 0.238 0.242  -0.07
P 0.000 0.761 0.248  -0.04
P 0.500 0.762 0.758  -0.07
Np 0.000 0.000 0.000  3.56
La 0.500 0.500 0.000  0.02
Pm 0.500 0.000 0.500  0.02
Pm 0.000 0.500 0.500  0.04

Properties
The value obtained for the magnetization is 3.666 Bohr magnetons per cell. Its space group is No. 10. The calculated total energy comes out at -7.491 eV/atom.

---

Material: LiSb2
Method: DFT, PBE
State: optimized geometry

Cell lengths 4.610, 6.235, 6.557 Å; angles 98.86, 110.32, 90.52 degrees
Positions (direct):
Li 0.058 0.403 0.834
Li 0.969 0.892 0.675
Sb 0.542 0.649 0.803
Sb 0.198 0.502 0.338
Sb 0.687 0.196 0.317
Sb 0.555 0.135 0.848

Properties
The value obtained for the magnetization is 0.000 Bohr magnetons per cell. As for the energy above the most stable polymorph in this dataset: 5.6 kJ/mol of atoms. Its space group is No. 1. For the uncorrected formation energy, the calculation gives -0.184 eV per atom. The calculated total energy comes out at -3.571 eV/atom.

---

Material: Pm7IrCl12
Method: DFT, PBE
State: optimized geometry

Cell lengths 9.219, 9.219, 9.219 Å; angles 106.73, 106.73, 106.73 degrees
Positions (direct):
Cl 0.375 0.459 0.176
Cl 0.319 0.791 0.920
Cl 0.681 0.209 0.080
Cl 0.791 0.920 0.319
Cl 0.459 0.176 0.375
Cl 0.080 0.681 0.209
Cl 0.541 0.824 0.625
Cl 0.209 0.080 0.681
Cl 0.824 0.625 0.541
Cl 0.625 0.541 0.824
Cl 0.920 0.319 0.791
Cl 0.176 0.375 0.459
Pm 0.014 0.316 0.111
Pm 0.111 0.014 0.316
Pm 0.889 0.986 0.684
Pm 0.684 0.889 0.986
Pm 0.500 0.500 0.500
Pm 0.316 0.111 0.014
Pm 0.986 0.684 0.889
Ir 0.000 0.000 0.000

Properties
The value obtained for the magnetization is 0.000 Bohr magnetons per cell. Its space group is No. 148. For the uncorrected formation energy, the calculation gives -1.942 eV per atom. The calculated total energy comes out at -5.155 eV/atom.

---

Material: Ta5Au4
Method: DFT, PBE
State: optimized geometry

Cell lengths 8.120, 8.120, 5.675 Å; angles 90.00, 90.00, 60.00 degrees
Positions (direct):
Ta 0.655 0.345 0.750
Ta 0.333 0.333 0.500
Ta 0.667 0.667 0.000
Ta 0.000 0.655 0.750
Ta 0.333 0.333 0.000
Ta 0.345 0.655 0.250
Ta 0.000 0.345 0.250
Ta 0.667 0.667 0.500
Ta 0.655 0.000 0.250
Ta 0.345 0.000 0.750
Au 0.000 0.000 0.000
Au 0.000 0.672 0.250
Au 0.000 0.328 0.750
Au 0.672 0.000 0.750
Au 0.328 0.672 0.750
Au 0.000 0.000 0.500
Au 0.328 0.000 0.250
Au 0.672 0.328 0.250

Properties
The value obtained for the magnetization is 0.000 Bohr magnetons per cell. As for the energy above the most stable polymorph in this dataset: 5.3 kJ/mol of atoms. Its space group is No. 193. The calculated total energy comes out at -7.974 eV/atom.

---

Material: MnBe2Br
Method: DFT, PBE
State: optimized geometry

Cell lengths 6.467, 6.467, 5.392 Å; angles 53.15, 53.15, 90.00 degrees
Each line ends with the local moment (μB).
Positions (direct):
Be 0.112 0.625 0.250  -0.07
Be 0.375 0.362 0.750  -0.07
Be 0.638 0.125 0.250  -0.07
Be 0.875 0.888 0.750  -0.06
Mn 0.250 0.750 0.500  3.48
Mn 0.500 0.500 0.000  3.49
Br 0.750 0.250 0.500  0.07
Br 0.000 0.000 0.000  0.07

Properties
The value obtained for the magnetization is 7.061 Bohr magnetons per cell. As for the energy above the most stable polymorph in this dataset: 57.9 kJ/mol of atoms. Its space group is No. 122. For the uncorrected formation energy, the calculation gives 0.787 eV per atom. The calculated total energy comes out at -3.787 eV/atom.

---

Material: SrCd2BiSb
Method: DFT, PBE
State: optimized geometry

Cell lengths 4.487, 8.645, 8.789 Å; angles 90.00, 90.00, 105.04 degrees
Positions (direct):
Sr 0.415 0.830 0.750
Sr 0.585 0.170 0.250
Cd 0.175 0.350 0.562
Cd 0.825 0.650 0.438
Cd 0.175 0.350 0.938
Cd 0.825 0.650 0.062
Sb 0.257 0.514 0.250
Sb 0.743 0.486 0.750
Bi 0.000 0.000 0.000
Bi 0.000 0.000 0.500

Properties
The value obtained for the magnetization is 0.000 Bohr magnetons per cell. Its space group is No. 63. For the uncorrected formation energy, the calculation gives -0.289 eV per atom. The calculated total energy comes out at -2.592 eV/atom.

---

Material: YAlTl2
Method: DFT, PBE
State: optimized geometry

Cell lengths 3.652, 5.440, 6.519 Å; angles 53.11, 90.00, 90.00 degrees
Positions (direct):
Tl 0.500 0.500 0.000
Tl 0.000 0.000 0.000
Y 0.500 0.500 0.500
Al 0.000 0.000 0.500

Properties
The value obtained for the magnetization is 0.000 Bohr magnetons per cell. As for the energy above the most stable polymorph in this dataset: 9.0 kJ/mol of atoms. Its space group is No. 10. The calculated total energy comes out at -3.852 eV/atom.

---

Material: Fe2Se
Method: DFT, PBE
State: optimized geometry

Cell lengths 3.314, 6.709, 7.775 Å; angles 90.00, 90.00, 90.00 degrees
Each line ends with the local moment (μB).
Positions (direct):
Fe 0.250 0.089 0.397  2.67
Fe 0.750 0.911 0.603  2.67
Fe 0.750 0.862 0.237  2.70
Fe 0.250 0.638 0.737  2.70
Fe 0.250 0.138 0.763  2.70
Fe 0.250 0.589 0.103  2.67
Fe 0.750 0.362 0.263  2.70
Fe 0.750 0.411 0.897  2.67
Se 0.250 0.199 0.078  0.08
Se 0.750 0.801 0.922  0.08
Se 0.750 0.301 0.578  0.08
Se 0.250 0.699 0.422  0.08

Properties
The value obtained for the magnetization is 21.994 Bohr magnetons per cell. As for the energy above the most stable polymorph in this dataset: 24.9 kJ/mol of atoms. Its space group is No. 62. For the uncorrected formation energy, the calculation gives 0.116 eV per atom. The calculated total energy comes out at -6.687 eV/atom.

---

Material: TaV3Tc
Method: DFT, PBE
State: optimized geometry

Cell lengths 3.002, 6.883, 7.865 Å; angles 108.00, 101.00, 90.00 degrees
Positions (direct):
V 0.773 0.371 0.546
V 0.050 0.724 0.100
V 0.950 0.276 0.900
V 0.312 0.100 0.624
V 0.227 0.629 0.454
V 0.688 0.900 0.376
Ta 0.882 0.848 0.764
Ta 0.118 0.152 0.236
Tc 0.410 0.545 0.821
Tc 0.590 0.455 0.179

Properties
The value obtained for the magnetization is 0.000 Bohr magnetons per cell. As for the energy above the most stable polymorph in this dataset: 0.0 kJ/mol of atoms. Its space group is No. 12. The calculated total energy comes out at -9.911 eV/atom.

---

Material: Ac12Hg5Ru2
Method: DFT, PBE
State: optimized geometry

Cell lengths 8.527, 10.057, 10.303 Å; angles 106.04, 90.00, 115.08 degrees
Positions (direct):
Ac 0.909 0.333 0.094
Ac 0.399 0.291 0.567
Ac 0.006 0.012 0.814
Ac 0.424 0.333 0.094
Ac 0.601 0.709 0.433
Ac 0.108 0.709 0.433
Ac 0.576 0.667 0.906
Ac 0.994 0.988 0.186
Ac 0.091 0.667 0.906
Ac 0.502 0.003 0.208
Ac 0.892 0.291 0.567
Ac 0.498 0.997 0.792
Ru 0.745 0.000 0.000
Ru 0.255 0.000 0.000
Hg 0.295 0.589 0.633
Hg 0.705 0.411 0.367
Hg 0.000 0.000 0.500
Hg 0.688 0.376 0.838
Hg 0.312 0.624 0.162

Properties
The value obtained for the magnetization is 0.000 Bohr magnetons per cell. Its space group is No. 12. The calculated total energy comes out at -3.859 eV/atom.

---

Material: PrPaPdAu
Method: DFT, PBE
State: optimized geometry

Cell lengths 5.131, 5.131, 5.131 Å; angles 60.00, 60.00, 60.00 degrees
Each line ends with the local moment (μB).
Positions (direct):
Pr 0.750 0.750 0.750  0.11
Pa 0.250 0.250 0.250  0.87
Au 0.000 0.000 0.000  0.00
Pd 0.500 0.500 0.500  -0.02

Properties
The value obtained for the magnetization is 1.201 Bohr magnetons per cell. Its space group is No. 216. The calculated total energy comes out at -6.076 eV/atom.

---

Material: AlCu2TcBi
Method: DFT, PBE
State: optimized geometry

Cell lengths 4.477, 5.436, 4.477 Å; angles 90.00, 90.00, 90.00 degrees
Each line ends with the local moment (μB).
Positions (direct):
Cu 0.000 0.000 0.500  0.02
Cu 0.500 0.000 0.000  -0.01
Tc 0.500 0.500 0.500  3.01
Bi 0.000 0.500 0.000  -0.08
Al 0.000 0.000 0.000  0.00

Properties
The value obtained for the magnetization is 3.277 Bohr magnetons per cell. Its space group is No. 123. The calculated total energy comes out at -4.066 eV/atom.

---

Material: CdIn3SnPb
Method: DFT, PBE
State: optimized geometry

Cell lengths 5.188, 9.621, 7.093 Å; angles 95.25, 90.00, 105.64 degrees
Positions (direct):
In 0.536 0.072 0.313
In 0.226 0.452 0.860
In 0.133 0.267 0.234
In 0.774 0.548 0.140
In 0.867 0.733 0.766
In 0.464 0.928 0.687
Pb 0.696 0.393 0.552
Pb 0.304 0.607 0.448
Sn 0.390 0.780 0.062
Sn 0.610 0.220 0.938
Cd 0.065 0.130 0.663
Cd 0.935 0.870 0.337

Properties
The value obtained for the magnetization is 0.000 Bohr magnetons per cell. Its space group is No. 12. The calculated total energy comes out at -2.753 eV/atom.

---

Material: ZrNbReRu2
Method: DFT, PBE
State: optimized geometry

Cell lengths 4.603, 4.842, 4.603 Å; angles 90.00, 90.00, 90.00 degrees
Positions (direct):
Zr 0.000 0.000 0.000
Nb 0.000 0.500 0.000
Ru 0.500 0.000 0.000
Ru 0.000 0.000 0.500
Re 0.500 0.500 0.500

Properties
The value obtained for the magnetization is 0.000 Bohr magnetons per cell. Its space group is No. 123. The calculated total energy comes out at -7.823 eV/atom.

---

Material: CdBi2H2
Method: DFT, PBE
State: optimized geometry

Cell lengths 5.325, 5.322, 7.120 Å; angles 68.62, 68.00, 60.02 degrees
Positions (direct):
Bi 0.699 0.697 0.905
Bi 0.301 0.303 0.095
H 0.520 0.520 0.441
H 0.480 0.480 0.559
Cd 0.000 0.000 0.000

Properties
The value obtained for the magnetization is 0.000 Bohr magnetons per cell. As for the energy above the most stable polymorph in this dataset: 0.0 kJ/mol of atoms. Its space group is No. 12. The calculated total energy comes out at -2.859 eV/atom.

---

Material: CdRh2I
Method: DFT, PBE
State: optimized geometry

Cell lengths 4.446, 4.446, 9.170 Å; angles 75.97, 75.97, 90.00 degrees
Positions (direct):
I 0.000 0.000 0.000
I 0.750 0.250 0.500
Rh 0.875 0.919 0.750
Rh 0.669 0.125 0.250
Rh 0.375 0.331 0.750
Rh 0.081 0.625 0.250
Cd 0.250 0.750 0.500
Cd 0.500 0.500 0.000

Properties
The value obtained for the magnetization is 0.000 Bohr magnetons per cell. As for the energy above the most stable polymorph in this dataset: 5.1 kJ/mol of atoms. Its space group is No. 122. For the uncorrected formation energy, the calculation gives 0.458 eV per atom. The calculated total energy comes out at -3.834 eV/atom.

---

Material: Ce8Ru6Pt
Method: DFT, PBE
State: optimized geometry

Cell lengths 4.491, 9.349, 9.349 Å; angles 120.00, 90.00, 90.00 degrees
Positions (direct):
Ru 0.747 0.372 0.891
Ru 0.253 0.628 0.109
Ru 0.747 0.519 0.628
Ru 0.253 0.891 0.519
Ru 0.253 0.481 0.372
Ru 0.747 0.109 0.481
Ce 0.755 0.261 0.310
Ce 0.245 0.310 0.049
Ce 0.245 0.739 0.690
Ce 0.755 0.690 0.951
Ce 0.750 0.667 0.333
Ce 0.250 0.333 0.667
Ce 0.755 0.049 0.739
Ce 0.245 0.951 0.261
Pt 0.500 0.000 0.000

Properties
The value obtained for the magnetization is 0.010 Bohr magnetons per cell. Its space group is No. 147. The calculated total energy comes out at -7.651 eV/atom.